[1]
## Ba2SmThS6 (PBE)

Data for Ba2SmThS6 after structural relaxation.

Geometry as CIF:
```
data_Ba2SmThS6
_space_group_name_H-M_alt 'P 1 21/c 1'
_space_group_IT_number 14
_space_group_name_Hall '-P 2ybc'
_cell_length_a 7.3568
_cell_length_b 7.7319
_cell_length_c 12.8123
_cell_angle_alpha 90.00
_cell_angle_beta 124.37
_cell_angle_gamma 90.00
loop_
_atom_site_label
_atom_site_type_symbol
_atom_site_fract_x
_atom_site_fract_y
_atom_site_fract_z
Ba1 Ba 0.2249 0.0680 0.2488
Sm1 Sm 0.0000 0.0000 0.5000
Th1 Th 0.5000 0.0000 0.0000
S1 S 0.1477 0.2022 0.9470
S2 S 0.2449 0.7063 0.9447
S3 S 0.3536 0.0326 0.7502
```

Summary:
VASP energy, eV per atom: -5.94

---

[2]
## Ba2SmTlS4 (PBE)

Data for Ba2SmTlS4 after structural relaxation.

Geometry as CIF:
```
data_Ba2SmTlS4
_space_group_name_H-M_alt 'P 1 2/m 1'
_space_group_IT_number 10
_space_group_name_Hall '-P 2y'
_cell_length_a 7.4426
_cell_length_b 4.3882
_cell_length_c 7.8059
_cell_angle_alpha 90.00
_cell_angle_beta 109.05
_cell_angle_gamma 90.00
loop_
_atom_site_label
_atom_site_type_symbol
_atom_site_fract_x
_atom_site_fract_y
_atom_site_fract_z
Ba1 Ba 0.0000 0.0000 0.0000
Ba2 Ba 0.0000 0.5000 0.5000
Sm1 Sm 0.5000 0.0000 0.5000
Tl1 Tl 0.5000 0.5000 0.0000
S1 S 0.2666 0.0000 0.7225
S2 S 0.2749 0.5000 0.2781
```

Summary:
VASP energy, eV per atom: -5.11

---

[3]
## Ba3Sm3TmS8 (PBE)

Data for Ba3Sm3TmS8 after structural relaxation.

Geometry as CIF:
```
data_Ba3Sm3TmS8
_space_group_name_H-M_alt 'R -3 m'
_space_group_IT_number 166
_space_group_name_Hall '-R 3 2"'
_cell_length_a 8.2191
_cell_length_b 8.2191
_cell_length_c 21.8531
_cell_angle_alpha 90.00
_cell_angle_beta 90.00
_cell_angle_gamma 120.00
loop_
_atom_site_label
_atom_site_type_symbol
_atom_site_fract_x
_atom_site_fract_y
_atom_site_fract_z
Ba1 Ba 0.0000 0.5000 0.0000
Sm1 Sm 0.0000 0.5000 0.5000
Tm1 Tm 0.0000 0.0000 0.5000
S1 S 0.0000 0.0000 0.2390
S2 S 0.0100 0.5050 0.2358
```

Summary:
VASP energy, eV per atom: -5.89

---

[4]
## Ba2SmYS5 (PBE)

Data for Ba2SmYS5 after structural relaxation.

Geometry as CIF:
```
data_Ba2SmYS5
_space_group_name_H-M_alt 'C m c 21'
_space_group_IT_number 36
_space_group_name_Hall 'C 2c -2'
_cell_length_a 4.3236
_cell_length_b 17.5332
_cell_length_c 13.5413
_cell_angle_alpha 90.00
_cell_angle_beta 90.00
_cell_angle_gamma 90.00
loop_
_atom_site_label
_atom_site_type_symbol
_atom_site_fract_x
_atom_site_fract_y
_atom_site_fract_z
Ba1 Ba 0.0000 0.1038 0.0000
Ba2 Ba 0.0000 0.1407 0.6132
Sm1 Sm 0.0000 0.2176 0.3323
Y1 Y 0.0000 0.4689 0.7729
S1 S 0.0000 0.0588 0.3752
S2 S 0.0000 0.2785 0.9687
S3 S 0.0000 0.3181 0.7008
S4 S 0.0000 0.3751 0.3124
S5 S 0.0000 0.4915 0.0882
```

Summary:
VASP energy, eV per atom: -6.03

---

[5]
## Ba2SmZnS5 (PBE)

Data for Ba2SmZnS5 after structural relaxation.

Geometry as CIF:
```
data_Ba2SmZnS5
_space_group_name_H-M_alt 'C m c 21'
_space_group_IT_number 36
_space_group_name_Hall 'C 2c -2'
_cell_length_a 4.2262
_cell_length_b 17.3373
_cell_length_c 13.1887
_cell_angle_alpha 90.00
_cell_angle_beta 90.00
_cell_angle_gamma 90.00
loop_
_atom_site_label
_atom_site_type_symbol
_atom_site_fract_x
_atom_site_fract_y
_atom_site_fract_z
Ba1 Ba 0.0000 0.1131 0.0000
Ba2 Ba 0.0000 0.1369 0.6637
Sm1 Sm 0.0000 0.1759 0.3380
Zn1 Zn 0.0000 0.4650 0.7317
S1 S 0.0000 0.0133 0.3144
S2 S 0.0000 0.3231 0.9821
S3 S 0.0000 0.3293 0.6884
S4 S 0.0000 0.3309 0.3380
S5 S 0.0000 0.4814 0.0682
```

Summary:
VASP energy, eV per atom: -4.98

---

[6]
## Ba2SnS3 (PBE)

Data for Ba2SnS3 after structural relaxation.

Geometry as CIF:
```
data_Ba2SnS3
_space_group_name_H-M_alt 'C 1 2/c 1'
_space_group_IT_number 15
_space_group_name_Hall '-C 2yc'
_cell_length_a 6.4908
_cell_length_b 14.9968
_cell_length_c 15.1838
_cell_angle_alpha 90.00
_cell_angle_beta 92.06
_cell_angle_gamma 90.00
loop_
_atom_site_label
_atom_site_type_symbol
_atom_site_fract_x
_atom_site_fract_y
_atom_site_fract_z
Ba1 Ba 0.2209 0.1970 0.3473
Ba2 Ba 0.2332 0.1088 0.9267
Sn1 Sn 0.1588 0.4927 0.8351
S1 S 0.0000 0.0135 0.2500
S2 S 0.0000 0.3530 0.2500
S3 S 0.2223 0.3121 0.8787
S4 S 0.2441 0.0914 0.5291
```

Summary:
VASP energy, eV per atom: -4.83

---

[7]
## Ba2SnS (PBE)

Data for Ba2SnS after structural relaxation.

Geometry as CIF:
```
data_Ba2SnS
_space_group_name_H-M_alt 'R -3 m'
_space_group_IT_number 166
_space_group_name_Hall '-R 3 2"'
_cell_length_a 4.3307
_cell_length_b 4.3307
_cell_length_c 32.0344
_cell_angle_alpha 90.00
_cell_angle_beta 90.00
_cell_angle_gamma 120.00
loop_
_atom_site_label
_atom_site_type_symbol
_atom_site_fract_x
_atom_site_fract_y
_atom_site_fract_z
Ba1 Ba 0.0000 0.0000 0.1087
Sn1 Sn 0.0000 0.0000 0.0000
S1 S 0.0000 0.0000 0.5000
```

Summary:
VASP energy, eV per atom: -3.78

---

[8]
## Ba2Sn2S5 (PBE)

Data for Ba2Sn2S5 after structural relaxation.

Geometry as CIF:
```
data_Ba2Sn2S5
_space_group_name_H-M_alt 'C 1 2/m 1'
_space_group_IT_number 12
_space_group_name_Hall '-C 2y'
_cell_length_a 14.4632
_cell_length_b 5.3892
_cell_length_c 7.5334
_cell_angle_alpha 90.00
_cell_angle_beta 113.98
_cell_angle_gamma 90.00
loop_
_atom_site_label
_atom_site_type_symbol
_atom_site_fract_x
_atom_site_fract_y
_atom_site_fract_z
Ba1 Ba 0.1090 0.0000 0.3025
Sn1 Sn 0.1520 0.5000 0.8742
S1 S 0.0000 0.5000 0.0000
S2 S 0.1495 0.0000 0.9115
S3 S 0.1517 0.5000 0.5460
```

Summary:
VASP energy, eV per atom: -4.73

---

[9]
## Ba3SnS4 (PBE)

Data for Ba3SnS4 after structural relaxation.

Geometry as CIF:
```
data_Ba3SnS4
_space_group_name_H-M_alt 'P m -3 m'
_space_group_IT_number 221
_space_group_name_Hall '-P 4 2 3'
_cell_length_a 6.3264
_cell_length_b 6.3264
_cell_length_c 6.3264
_cell_angle_alpha 90.00
_cell_angle_beta 90.00
_cell_angle_gamma 90.00
loop_
_atom_site_label
_atom_site_type_symbol
_atom_site_fract_x
_atom_site_fract_y
_atom_site_fract_z
Ba1 Ba 0.0000 0.0000 0.5000
Sn1 Sn 0.5000 0.5000 0.5000
S1 S 0.0000 0.0000 0.0000
S2 S 0.0000 0.5000 0.5000
```

Summary:
VASP energy, eV per atom: -4.91

---

[10]
## BaSn3S (PBE)

Data for BaSn3S after structural relaxation.

Geometry as CIF:
```
data_BaSn3S
_space_group_name_H-M_alt 'P m -3 m'
_space_group_IT_number 221
_space_group_name_Hall '-P 4 2 3'
_cell_length_a 6.2746
_cell_length_b 6.2746
_cell_length_c 6.2746
_cell_angle_alpha 90.00
_cell_angle_beta 90.00
_cell_angle_gamma 90.00
loop_
_atom_site_label
_atom_site_type_symbol
_atom_site_fract_x
_atom_site_fract_y
_atom_site_fract_z
Ba1 Ba 0.0000 0.0000 0.0000
Sn1 Sn 0.0000 0.0000 0.5000
S1 S 0.5000 0.5000 0.5000
```

Summary:
VASP energy, eV per atom: -2.33

---

[11]
## BaSn2S3 (PBE)

Data for BaSn2S3 after structural relaxation.

Geometry as CIF:
```
data_BaSn2S3
_space_group_name_H-M_alt 'P 1 21/m 1'
_space_group_IT_number 11
_space_group_name_Hall '-P 2yb'
_cell_length_a 6.2358
_cell_length_b 13.6793
_cell_length_c 12.0762
_cell_angle_alpha 90.00
_cell_angle_beta 101.26
_cell_angle_gamma 90.00
loop_
_atom_site_label
_atom_site_type_symbol
_atom_site_fract_x
_atom_site_fract_y
_atom_site_fract_z
Ba1 Ba 0.1245 0.2500 0.4762
Ba2 Ba 0.2013 0.0775 0.8729
Sn1 Sn 0.1615 0.7500 0.9012
Sn2 Sn 0.2234 0.5514 0.4477
Sn3 Sn 0.3796 0.7500 0.2101
Sn4 Sn 0.4525 0.1146 0.2287
S1 S 0.0308 0.7500 0.2809
S2 S 0.0854 0.0799 0.2909
S3 S 0.2455 0.2500 0.0710
S4 S 0.2627 0.6070 0.0519
S5 S 0.4063 0.0703 0.6142
S6 S 0.4259 0.7500 0.6203
```

Summary:
VASP energy, eV per atom: -4.73

---

[12]
## BaSnS2 (PBE)

Data for BaSnS2 after structural relaxation.

Geometry as CIF:
```
data_BaSnS2
_space_group_name_H-M_alt 'P n m a'
_space_group_IT_number 62
_space_group_name_Hall '-P 2ac 2n'
_cell_length_a 8.8778
_cell_length_b 4.1744
_cell_length_c 18.8079
_cell_angle_alpha 90.00
_cell_angle_beta 90.00
_cell_angle_gamma 90.00
loop_
_atom_site_label
_atom_site_type_symbol
_atom_site_fract_x
_atom_site_fract_y
_atom_site_fract_z
Ba1 Ba 0.2470 0.2500 0.2162
Sn1 Sn 0.0774 0.2500 0.9034
S1 S 0.0034 0.2500 0.7597
S2 S 0.1001 0.2500 0.0699
```

Summary:
VASP energy, eV per atom: -4.69

---

Question: What is the formula in the seventh record?
Answer: Ba2SnS

---

Question: What is the VASP energy in the fifth record?
Answer: -4.98 eV per atom

---

Question: Which of these has the lowest VASP energy?
Answer: Ba2SmYS5

---

Question: Which value of VASP energy does entry 3 give?
Answer: -5.89 eV per atom